Record 1
! GGA-PBE PmPr6Y8, relaxed; values from VASP
&SYSTEM
  ibrav = 0, nat = 15, ntyp = 3
/
ATOMIC_SPECIES
Pr 140.91 Pr.upf
Y 88.91 Y.upf
Pm 145.00 Pm.upf
CELL_PARAMETERS angstrom
-2.496 -0.035 8.840
-8.556 -2.382 2.347
-1.655 -7.557 4.276
ATOMIC_POSITIONS angstrom
Pr -10.266 -8.422 13.472
Y -5.279 -4.991 10.898
Y -6.823 -3.424 7.605
Pr -2.440 -1.551 1.992
Y -7.428 -4.982 4.566
Pr -5.390 -2.286 3.863
Y -9.268 -6.497 7.101
Pm 0.000 0.000 0.000
Y -5.884 -6.549 7.858
Pr -7.316 -7.687 11.600
Y -4.033 -5.067 5.326
Pr -10.290 -8.717 9.914
Y -3.438 -3.476 8.363
Pr -2.417 -1.256 5.550
Y -8.674 -4.906 10.138
! E_tot: -5.56 eV per atom

***

Record 2
! GGA-PBE Pm3PrY7, relaxed; values from VASP
&SYSTEM
  ibrav = 0, nat = 11, ntyp = 3
/
ATOMIC_SPECIES
Y 88.91 Y.upf
Pm 145.00 Pm.upf
Pr 140.91 Pr.upf
CELL_PARAMETERS angstrom
8.431 -0.732 -2.911
-2.188 9.882 -0.611
-1.900 -0.098 5.260
ATOMIC_POSITIONS angstrom
Y 4.909 5.673 -1.094
Y -0.194 6.703 3.028
Pm 3.876 9.267 -1.405
Pr 2.171 4.526 0.869
Pm -1.094 4.941 -0.305
Y -0.566 3.380 2.832
Pm 0.467 -0.215 3.142
Y 0.157 1.613 0.086
Y 4.186 7.439 1.651
Y 3.265 -0.415 1.174
Y 4.537 2.349 -1.291
! offset from the most stable computed form: 0.00 eV per formula unit